SmLuMgPb | PBE | relaxed

Summary:
space-group type	F-43m (216)
density of states at the Fermi level	1.032	states/eV per atom
calculated volume	27.3	Å³ per atom
formation enthalpy at 0 K	-248.0	meV per atom

Cell and atoms, written as POSCAR:
```
SmLuMgPb
1.0
0.000 3.795 3.795
3.795 0.000 3.795
3.795 3.795 0.000
Sm Lu Mg Pb
1 1 1 1
Direct
0.000 0.000 0.000
0.500 0.500 0.500
0.250 0.250 0.250
0.750 0.750 0.750
```